(1)
Entry from Alexandria via LeMat-Bulk: a relaxed Mn2FeCoN crystal (GGA-PBE).

Its crystal system is tetragonal. The calculation puts the formation energy (no corrections) at -0.034 eV/atom. The space group is P4/mmm, No. 123. For the polymorph energy (0 for the lowest one), the calculation gives 0.0196 eV/atom.

Cell lengths 3.779, 3.779, 3.798 Å; angles 90.00, 90.00, 90.00 degrees
Each line ends with the local moment (μB).
Positions (direct):
Mn (0.000, 0.500, 0.000)  2.07
Mn (0.500, 0.000, 0.000)  2.07
Co (0.000, 0.000, 0.500)  1.06
Fe (0.500, 0.500, 0.500)  3.04
N (0.000, 0.000, 0.000)  -0.07



(2)
Entry from Alexandria via LeMat-Bulk: a relaxed MnFeCo2N crystal (GGA-PBE).

Its crystal system is tetragonal. The calculation puts the formation energy (no corrections) at -0.023 eV/atom. The space group is P4/mmm, No. 123. For the polymorph energy (0 for the lowest one), the calculation gives 0.0020 eV/atom.

Cell lengths 3.782, 3.782, 3.783 Å; angles 90.00, 90.00, 90.00 degrees
Each line ends with the local moment (μB).
Positions (direct):
Mn (0.500, 0.500, 0.500)  3.64
Co (0.000, 0.500, 0.000)  1.29
Co (0.500, 0.000, 0.000)  1.29
Fe (0.000, 0.000, 0.500)  2.23
N (0.000, 0.000, 0.000)  0.07



(3)
Entry from Alexandria via LeMat-Bulk: a relaxed NpMnFeCo crystal (GGA-PBE).

Its crystal system is cubic. The space group is F-43m, No. 216. The value obtained for the formation energy is 0.120 eV per atom.

Cell lengths 4.325, 4.325, 4.325 Å; angles 60.00, 60.00, 60.00 degrees
Each line ends with the local moment (μB).
Positions (direct):
Np (0.500, 0.500, 0.500)  -3.40
Mn (0.000, 0.000, 0.000)  3.04
Co (0.750, 0.750, 0.750)  0.83
Fe (0.250, 0.250, 0.250)  1.49



Values of density of states at the Fermi level, in order: 1.22 1.11 1.11, all in states/eV/atom.
Values of E, in order: -8.48 -8.06 -9.30, all in eV per atom.
Values of size of the total moment, in order: 8.20 8.62 1.86, all in Bohr magnetons per cell.